Computed, not measured: Ge2As2Se after structural relaxation at the PBE level of DFT.

The calculation puts the uncorrected formation energy at 0.1849 eV/atom. The volume comes out at 212.7 Å³/cell.

The space group is I4/mmm (No. 139) and the conventional cell measures 3.8099, 3.8099 and 14.6561 Å, with angles of 90.00, 90.00 and 90.00 degrees. The inequivalent atoms are Ge at (0.0000, 0.0000, 0.0959), As at (0.0000, 0.5000, 0.2500) and Se at (0.0000, 0.0000, 0.5000).



Computed, not measured: Ge2AsSe after structural relaxation at the PBE level of DFT.

The calculation puts the uncorrected formation energy at 0.2088 eV/atom. The volume comes out at 327.5 Å³/cell.

The space group is R-3m (No. 166, hexagonal axes) and the conventional cell measures 4.0999, 4.0999 and 22.5004 Å, with angles of 90.00, 90.00 and 120.00 degrees. The inequivalent atoms are Ge at (0.0000, 0.0000, 0.1066), As at (0.0000, 0.0000, 0.5000) and Se at (0.0000, 0.0000, 0.0000).



Computed, not measured: Ge2AsSe2 after structural relaxation at the PBE level of DFT.

The calculation puts the uncorrected formation energy at 0.0810 eV/atom. The volume comes out at 564.4 Å³/cell.

The space group is I4_1md (No. 109) and the conventional cell measures 7.4565, 7.4565 and 10.1506 Å, with angles of 90.00, 90.00 and 90.00 degrees. The inequivalent atoms are Ge at (0.0000, 0.2694, 0.0000), As at (0.0000, 0.0000, 0.1357) and Se at (0.0000, 0.2600, 0.7557).



Computed, not measured: Ge2AsSe after structural relaxation at the PBE level of DFT.

The calculation puts the uncorrected formation energy at 0.2881 eV/atom. The volume comes out at 315.4 Å³/cell.

The space group is Fm-3m (No. 225) and the conventional cell measures 6.8068, 6.8068 and 6.8068 Å, with angles of 90.00, 90.00 and 90.00 degrees. The inequivalent atoms are Ge at (0.2500, 0.2500, 0.2500), As at (0.0000, 0.0000, 0.0000) and Se at (0.0000, 0.0000, 0.5000).



Computed, not measured: GeAsSe3 after structural relaxation at the PBE level of DFT.

The calculation puts the uncorrected formation energy at 0.4451 eV/atom. The volume comes out at 127.3 Å³/cell.

The space group is Pm-3m (No. 221) and the conventional cell measures 5.0302, 5.0302 and 5.0302 Å, with angles of 90.00, 90.00 and 90.00 degrees. The inequivalent atoms are Ge at (0.0000, 0.0000, 0.0000), As at (0.5000, 0.5000, 0.5000) and Se at (0.0000, 0.5000, 0.5000).



Computed, not measured: GeAsSe after structural relaxation at the PBE level of DFT.

The calculation puts the uncorrected formation energy at 0.0686 eV/atom. The volume comes out at 178.6 Å³/cell.

The space group is P1 (No. 1) and the conventional cell measures 5.4558, 5.4876 and 6.0958 Å, with angles of 81.66, 84.01 and 83.17 degrees. The inequivalent atoms are Ge at (0.0000, 0.0000, 0.0000), Ge at (0.4122, 0.3563, 0.7105), As at (0.0763, 0.1347, 0.5836), As at (0.4531, 0.8301, 0.0798), Se at (0.1500, 0.5372, 0.0329) and Se at (0.4289, 0.8277, 0.4861).



Computed, not measured: SiGeAs2Se after structural relaxation at the PBE level of DFT.

The calculation puts the uncorrected formation energy at 0.5848 eV/atom. The volume comes out at 111.0 Å³/cell.

The space group is P4/mmm (No. 123) and the conventional cell measures 4.7814, 4.7814 and 4.8568 Å, with angles of 90.00, 90.00 and 90.00 degrees. The inequivalent atoms are Si at (0.0000, 0.0000, 0.0000), Ge at (0.5000, 0.5000, 0.5000), As at (0.0000, 0.5000, 0.0000) and Se at (0.0000, 0.0000, 0.5000).



Computed, not measured: Sm6Ge2As3Se after structural relaxation at the PBE level of DFT.

The calculation puts the uncorrected formation energy at -1.3449 eV/atom. The volume comes out at 636.6 Å³/cell.

The space group is C2/m (No. 12) and the conventional cell measures 18.4129, 4.1830 and 8.4946 Å, with angles of 90.00, 103.33 and 90.00 degrees. The inequivalent atoms are Sm at (0.0005, 0.0000, 0.2558), Sm at (0.1661, 0.5000, 0.5863), Sm at (0.1676, 0.5000, 0.0820), Ge at (0.1662, 0.0000, 0.3326), As at (0.0000, 0.5000, 0.5000), As at (0.1647, 0.0000, 0.8342) and Se at (0.0000, 0.5000, 0.0000).



Computed, not measured: Sm8GeAs3Se4 after structural relaxation at the PBE level of DFT.

The calculation puts the uncorrected formation energy at -1.6631 eV/atom. The volume comes out at 1265.0 Å³/cell.

The space group is R-3m (No. 166, hexagonal axes) and the conventional cell measures 8.4087, 8.4087 and 20.6577 Å, with angles of 90.00, 90.00 and 120.00 degrees. The inequivalent atoms are Sm at (0.0000, 0.0000, 0.2463), Sm at (0.0022, 0.5011, 0.2463), Ge at (0.0000, 0.0000, 0.5000), As at (0.0000, 0.5000, 0.5000), Se at (0.0000, 0.0000, 0.0000) and Se at (0.0000, 0.5000, 0.0000).



Computed, not measured: Sm6Ge2AsSe3 after structural relaxation at the PBE level of DFT.

The calculation puts the uncorrected formation energy at -1.5284 eV/atom. The volume comes out at 638.0 Å³/cell.

The space group is C2/m (No. 12) and the conventional cell measures 18.3960, 4.2173 and 8.4523 Å, with angles of 90.00, 103.34 and 90.00 degrees. The inequivalent atoms are Sm at (0.0035, 0.0000, 0.2455), Sm at (0.1649, 0.5000, 0.0910), Sm at (0.1689, 0.5000, 0.5773), Ge at (0.1664, 0.0000, 0.3327), As at (0.0000, 0.5000, 0.0000), Se at (0.0000, 0.5000, 0.5000) and Se at (0.1657, 0.0000, 0.8340).



Listing DFT total energy for the structures above in their given order: -42.19, -49.60, -81.79, -64.87, -17.50, -25.09, -19.90, -142.24, -290.60, -141.99 eV per cell.